# 1
## ZnRuW2 (PBE)

Data for a geometry-optimized ZnRuW2 structure.

Unit cell a=3.111 b=4.423 c=8.922 alpha=90.00 beta=90.00 gamma=90.00
Space group Cmmm (No. 65)
Symmetry-distinct sites (fractional):
Zn (0.000, 0.000, 0.000)
Ru (0.000, 0.000, 0.500)
W (0.000, 0.500, 0.255)

## Properties
Formation energy from the elements (kcal/mol of atoms): 6.9


# 2
## Ac4CoPt2 (PBE)

Data for a geometry-optimized Ac4CoPt2 structure.

Unit cell a=15.656 b=4.411 c=7.580 alpha=90.00 beta=118.77 gamma=90.00
Space group C2/m (No. 12)
Symmetry-distinct sites (fractional):
Ac (0.123, 0.000, 0.277)
Ac (0.127, 0.500, 0.807)
Co (0.000, 0.500, 0.000)
Pt (0.243, 0.000, 0.743)

## Properties
Formation energy from the elements (kcal/mol of atoms): -14.9


# 3
## FeH2Pd (PBE)

Data for a geometry-optimized FeH2Pd structure.

Unit cell a=5.192 b=5.192 c=5.192 alpha=90.00 beta=90.00 gamma=90.00
Space group Fm-3m (No. 225)
Symmetry-distinct sites (fractional):
Fe (0.000, 0.000, 0.000)
H (0.250, 0.250, 0.250)
Pd (0.000, 0.000, 0.500)


# 4
## TmAlFe (PBE)

Data for a geometry-optimized TmAlFe structure.

Unit cell a=5.394 b=8.651 c=9.125 alpha=90.00 beta=90.00 gamma=90.00
Space group Fmmm (No. 69)
Symmetry-distinct sites (fractional):
Tm (0.000, 0.177, 0.000)
Al (0.000, 0.000, 0.320)
Fe (0.250, 0.250, 0.250)

## Properties
Formation energy from the elements (kcal/mol of atoms): -2.1


# 5
## Nd2Ho4C (PBE)

Data for a geometry-optimized Nd2Ho4C structure.

Unit cell a=4.844 b=4.844 c=17.936 alpha=90.00 beta=90.00 gamma=90.00
Space group I4/mmm (No. 139)
Symmetry-distinct sites (fractional):
Nd (0.000, 0.000, 0.177)
Ho (0.000, 0.000, 0.368)
Ho (0.000, 0.500, 0.000)
C (0.000, 0.000, 0.500)

## Properties
Formation energy from the elements (kcal/mol of atoms): 2.2


# 6
## ErAlTl2 (PBE)

Data for a geometry-optimized ErAlTl2 structure.

Unit cell a=4.610 b=4.610 c=4.580 alpha=90.00 beta=90.00 gamma=90.00
Space group P4/mmm (No. 123)
Symmetry-distinct sites (fractional):
Er (0.000, 0.000, 0.000)
Al (0.500, 0.500, 0.000)
Tl (0.000, 0.500, 0.500)

## Properties
Formation energy from the elements (kcal/mol of atoms): -4.0


# 7
## Tl3B3Se10 (PBE)

Data for a geometry-optimized Tl3B3Se10 structure.

Unit cell a=7.378 b=8.395 c=14.840 alpha=104.22 beta=94.22 gamma=94.15
Space group P-1 (No. 2)
Symmetry-distinct sites (fractional):
Tl (0.006, 0.140, 0.203)
Tl (0.280, 0.424, 0.840)
Tl (0.307, 0.192, 0.481)
B (0.109, 0.625, 0.417)
B (0.258, 0.727, 0.242)
B (0.358, 0.920, 0.089)
Se (0.068, 0.795, 0.339)
Se (0.134, 0.518, 0.629)
Se (0.140, 0.748, 0.556)
Se (0.159, 0.750, 0.112)
Se (0.225, 0.060, 0.013)
Se (0.302, 0.482, 0.225)
Se (0.344, 0.511, 0.390)
Se (0.471, 0.075, 0.213)
Se (0.476, 0.239, 0.986)
Se (0.490, 0.140, 0.711)

## Properties
Formation energy from raw total energies (eV per atom): -0.234


# 8
## SrRh2F (PBE)

Data for a geometry-optimized SrRh2F structure.

Unit cell a=4.795 b=4.795 c=15.946 alpha=90.00 beta=90.00 gamma=90.00
Space group I4_1/amd (No. 141, origin choice 2)
Symmetry-distinct sites (fractional):
Sr (0.000, 0.250, 0.375)
Rh (0.000, 0.000, 0.000)
F (0.000, 0.250, 0.875)

## Properties
Formation energy from raw total energies (eV per atom): -0.202


# 9
## Tb3Ge4Pt2 (PBE)

Data for a geometry-optimized Tb3Ge4Pt2 structure.

Unit cell a=10.474 b=4.417 c=8.392 alpha=90.00 beta=107.80 gamma=90.00
Space group C2/m (No. 12)
Symmetry-distinct sites (fractional):
Tb (0.000, 0.000, 0.000)
Tb (0.140, 0.500, 0.687)
Ge (0.098, 0.000, 0.426)
Ge (0.222, 0.500, 0.062)
Pt (0.145, 0.500, 0.312)

## Properties
Formation energy from the elements (kcal/mol of atoms): -21.8


# 10
## Dy4Bi2N (PBE)

Data for a geometry-optimized Dy4Bi2N structure.

Unit cell a=4.707 b=4.707 c=16.252 alpha=90.00 beta=90.00 gamma=90.00
Space group I4/mmm (No. 139)
Symmetry-distinct sites (fractional):
Dy (0.000, 0.000, 0.157)
Dy (0.000, 0.500, 0.000)
Bi (0.000, 0.000, 0.355)
N (0.000, 0.000, 0.000)

## Properties
Formation energy from raw total energies (eV per atom): -0.921


# 11
## CrTcAg2 (PBE)

Data for a geometry-optimized CrTcAg2 structure.

Unit cell a=6.292 b=6.292 c=6.292 alpha=90.00 beta=90.00 gamma=90.00
Space group Fm-3m (No. 225)
Symmetry-distinct sites (fractional):
Cr (0.000, 0.000, 0.000)
Tc (0.000, 0.000, 0.500)
Ag (0.250, 0.250, 0.250)

## Properties
Formation energy from the elements (kcal/mol of atoms): 23.7


# 12
## LaPmFe4 (PBE)

Data for a geometry-optimized LaPmFe4 structure.

Unit cell a=7.436 b=7.436 c=7.436 alpha=90.00 beta=90.00 gamma=90.00
Space group F-43m (No. 216)
Symmetry-distinct sites (fractional):
La (0.000, 0.000, 0.000)
Pm (0.250, 0.250, 0.750)
Fe (0.125, 0.125, 0.375)

## Properties
Formation energy from the elements (kcal/mol of atoms): 1.7


Sequential E_tot output: -8.814, -5.736, -4.624, -5.652, -5.200, -3.431, -4.108, -4.766, -5.883, -5.849, -5.395, -7.182 eV/atom